This record from Alexandria via LeMat-Bulk describes Ac4ErTe5 after structural relaxation. The functional is PBE-GGA.

Summary:
**Uncorrected formation energy**: -1.413 eV per atom
**Theoretical density**: 8.0 g/cm3
**DFT total energy**: -5.083 eV/atom

abc: 10.3885 10.3885 6.6015
angles: 90.00 90.00 90.00
Closest atoms and distances in Å follow each position.
Space group I4 (No. 79)
Inequivalent atoms, fractional coordinates:
Ac  0.0902  0.6921  0.0000  6 Te 3.32-3.37
Er  0.0000  0.0000  0.5026  6 Te 3.08-3.31
Te  0.0000  0.0000  0.0013  2 Er 3.29-3.31, 4 Ac 3.33
Te  0.1008  0.7209  0.5000  1 Er 3.08, 5 Ac 3.32-3.37